1.
Compound: Zn2CoAs
Source: Alexandria
Functional: GGA-PBEsol
Structure: relaxed

```
4
Lattice="3.346 0.000 0.000 0.000 3.346 0.000 0.000 0.000 4.848" Properties=species:S:1:pos:R:3 pbc="T T T"
Co 1.673 1.673 2.424
As 1.673 1.673 0.000
Zn 0.000 0.000 3.587
Zn 0.000 0.000 1.261
```

* energy of formation: 63 meV/atom



2.
Compound: ZnCr2Hg
Source: Alexandria
Functional: GGA-PBEsol
Structure: relaxed

```
4
Lattice="3.909 0.000 0.000 0.000 3.909 0.000 -1.955 -1.955 3.933" Properties=species:S:1:pos:R:3 pbc="T T T"
Hg 1.955 1.955 0.000
Cr 1.955 0.000 1.966
Cr 0.000 0.000 0.000
Zn 0.000 1.955 1.966
```

* energy of formation: 373 meV/atom
* excess energy over the best structure of this formula in the dataset: 0.50 eV/f.u.



3.
Compound: Ca2CoTe
Source: Alexandria
Functional: GGA-PBEsol
Structure: relaxed

```
4
Lattice="4.162 0.000 0.000 0.000 4.225 0.000 0.000 -2.112 5.600" Properties=species:S:1:pos:R:3 pbc="T T T"
Ca 0.000 0.000 1.144
Ca 2.081 0.000 4.419
Te 2.081 2.112 2.098
Co 0.000 2.112 3.622
```

* uncorrected formation energy: -0.454 eV/atom



4.
Compound: P2RhCl
Source: Alexandria
Functional: GGA-PBEsol
Structure: relaxed

```
4
Lattice="3.338 0.000 0.000 0.000 4.387 0.049 0.000 -0.913 5.287" Properties=species:S:1:pos:R:3 pbc="T T T"
P 1.669 2.689 0.852
P 0.000 4.070 1.141
Cl 1.669 1.123 4.034
Rh 0.000 1.716 2.026
```

* uncorrected formation energy: -0.172 eV/atom
* excess energy over the best structure of this formula in the dataset: 0.00 eV/f.u.



5.
Compound: KHfAsPd2
Source: Alexandria
Functional: GGA-PBEsol
Structure: relaxed

```
5
Lattice="-1.714 -1.999 3.725 -0.529 -3.887 -2.329 4.944 -1.540 1.448" Properties=species:S:1:pos:R:3 pbc="T T T"
Hf 1.351 -3.713 1.422
Pd -0.857 -0.999 1.863
Pd -0.264 -1.943 -1.164
As 2.472 -0.770 0.724
K 0.000 0.000 0.000
```

* energy of formation: 1413 meV/atom



6.
Compound: InCuSi
Source: Alexandria
Functional: GGA-PBEsol
Structure: relaxed

```
3
Lattice="3.193 0.000 0.000 -1.596 2.765 0.000 0.000 0.000 5.750" Properties=species:S:1:pos:R:3 pbc="T T T"
In 0.000 1.843 3.908
Si 1.596 0.922 1.677
Cu 0.000 0.000 0.165
```

* uncorrected formation energy: 0.204 eV/atom



7.
Compound: BeBAuBr2
Source: Alexandria
Functional: GGA-PBEsol
Structure: relaxed

```
5
Lattice="-2.759 0.640 -3.279 3.098 -2.996 -3.193 -2.739 -4.378 1.450" Properties=species:S:1:pos:R:3 pbc="T T T"
Au 0.000 0.000 0.000
Be -1.380 0.320 -1.639
Br -1.369 -2.189 0.725
Br 1.549 -1.498 -1.596
B -1.200 -3.367 -2.511
```

* uncorrected formation energy: 1.312 eV/atom



8.
Compound: ZnRh2N
Source: Alexandria
Functional: GGA-PBEsol
Structure: relaxed

```
4
Lattice="-3.886 -0.770 -0.859 -1.080 -1.008 -3.774 -1.181 -3.788 -0.827" Properties=species:S:1:pos:R:3 pbc="T T T"
Rh -1.537 -1.392 -1.365
Rh -4.610 -4.175 -4.095
N 0.000 0.000 0.000
Zn -3.073 -2.783 -2.730
```

* uncorrected formation energy: 0.844 eV/atom



9.
Compound: MgZr2Zn
Source: Alexandria
Functional: GGA-PBEsol
Structure: relaxed

```
4
Lattice="-2.495 3.119 -1.677 -2.333 0.096 3.649 4.951 1.253 0.561" Properties=species:S:1:pos:R:3 pbc="T T T"
Zr 0.021 2.990 -0.065
Zr 0.102 1.478 2.598
Zn 0.000 0.000 0.000
Mg -2.414 1.608 0.986
```

* energy of formation: -58 meV/atom
* excess energy over the best structure of this formula in the dataset: 0.20 eV/f.u.



10.
Compound: Be2IrRu
Source: Alexandria
Functional: GGA-PBEsol
Structure: relaxed

```
4
Lattice="-1.220 1.598 -1.901 -3.266 -1.490 0.842 0.006 2.136 3.806" Properties=species:S:1:pos:R:3 pbc="T T T"
Be -1.689 -0.473 0.685
Be -0.245 1.192 1.159
Ru -2.569 1.641 1.014
Ir -0.579 2.815 2.738
```

* energy of formation: -341 meV/atom



11.
Compound: NaZr2CrMo
Source: Alexandria
Functional: GGA-PBEsol
Structure: relaxed

```
5
Lattice="4.646 0.000 0.000 0.000 4.646 0.000 0.000 0.000 4.834" Properties=species:S:1:pos:R:3 pbc="T T T"
Na 0.000 0.000 2.417
Zr 0.000 2.323 0.000
Zr 2.323 0.000 0.000
Mo 2.323 2.323 2.417
Cr 0.000 0.000 0.000
```

* energy of formation: 1453 meV/atom



12.
Compound: BaNbP2O
Source: Alexandria
Functional: GGA-PBEsol
Structure: relaxed

```
5
Lattice="4.187 0.000 0.000 0.000 5.357 0.000 0.000 0.000 5.357" Properties=species:S:1:pos:R:3 pbc="T T T"
Nb 2.093 2.679 2.679
O 2.093 0.000 0.000
P 0.000 0.000 2.679
P 0.000 2.679 0.000
Ba 0.000 0.000 0.000
```

* uncorrected formation energy: 1.215 eV/atom



no.,total DFT energy (no corrections) (eV/atom),volume (Å³ per atom)
1,-3.94,13.6
2,-5.29,15.0
3,-4.34,24.6
4,-5.60,19.4
5,-4.32,22.4
6,-4.15,16.9
7,-2.42,24.9
8,-5.75,11.8
9,-5.43,19.3
10,-7.34,10.6
11,-6.86,20.9
12,-4.75,24.0